Sm6ErTh2 | PBE | relaxed

Lattice parameters (Å, degrees): 3.598 3.598 26.772 90.00 90.00 120.00
Fractional coordinates of all 9 atoms:
Sm 0.667 0.333 0.893
Sm 0.333 0.667 0.436
Sm 0.333 0.667 0.781
Sm 0.333 0.667 0.219
Sm 0.333 0.667 0.564
Sm 0.667 0.333 0.107
Er 0.333 0.667 0.000
Th 0.667 0.333 0.329
Th 0.667 0.333 0.671

Calculated values
ΔH_f (0 K)	0.64	eV per formula unit
mass density	8.48	g/cm³
total DFT energy (no corrections)	-5.23	eV/atom